Record 1
NiGeTe2N: relaxed, PBE.

a b c (Å): 5.4321 5.4321 3.4426
angles (deg): 90.00 90.00 90.00
Closest atoms and distances in Å follow each position.
Element x y z (fractional)
Ni (0.0000, 0.0000, 0.0000)  2 N 1.72
Ge (0.5000, 0.5000, 0.5000)  8 Te 3.22, 2 Ge 3.44
Te (0.0000, 0.5000, 0.0000)  2 Ni 2.72
Te (0.5000, 0.0000, 0.0000)  2 Ni 2.72
N (0.0000, 0.0000, 0.5000)  2 Ni 1.72

Properties
Raw formation energy in meV/atom: 454
Symmetry: No. 123
M_tot in μB/f.u.: 0.00
E above lowest polymorph in meV/atom: 0


Record 2
CuNCl2: relaxed, PBE.

a b c (Å): 8.8065 8.8065 7.5977
angles (deg): 104.04 104.04 21.77
Closest atoms and distances in Å follow each position.
Element x y z (fractional)
Cu (0.2480, 0.2480, 0.2461)  4 Cl 2.28
Cu (0.7520, 0.7520, 0.7539)  4 Cl 2.28
N (0.0004, 0.0004, 0.2402)  3 N 3.33-3.65, 4 Cl 3.45-3.71
N (0.9996, 0.9996, 0.7598)  3 N 3.33-3.65, 4 Cl 3.45-3.71
Cl (0.1712, 0.1712, 0.6061)  2 Cu 2.28
Cl (0.3328, 0.3328, 0.9015)  2 Cu 2.28
Cl (0.6672, 0.6672, 0.0985)  2 Cu 2.28
Cl (0.8288, 0.8288, 0.3939)  2 Cu 2.28

Properties
Raw formation energy in meV/atom: 928
Symmetry: No. 12
M_tot in μB/f.u.: 3.95
E above lowest polymorph in meV/atom: 0


> Among the records above, which one has the lowest M_tot?

NiGeTe2N


> Which of these has the lowest M_tot?

NiGeTe2N